# Y2Re2N7

An optimized crystal structure of Y2Re2N7 (PBE, Alexandria).

Unit cell a=7.2584 b=9.7057 c=5.2121 alpha=90.00 beta=103.07 gamma=90.00
Closest atoms and distances in Å follow each position.
Space group C2/m (No. 12)
Symmetry-distinct sites (fractional):
Y 0.0000 0.1927 0.0000 (multiplicity 4)  6 N 2.35-2.41
Re 0.2259 0.5000 0.3961 (multiplicity 4)  4 N 1.81-1.84
N 0.0000 0.5000 0.5000 (multiplicity 2)  2 Re 1.84
N 0.0998 0.0000 0.2873 (multiplicity 4)  1 Re 1.84
N 0.2384 0.3462 0.2061 (multiplicity 8)  1 Re 1.81

Values from the calculation:
The raw total energy is -9.22 eV per atom. The calculation puts the calculated density at 6.02 g/cm3. Its volume is 358 Å³ per cell. Its uncorrected formation energy is -0.484 eV per atom.